(1)
Density functional theory data (PBE-GGA) for crystalline TcMo4W2 at its relaxed geometry.

Cell lengths 4.655, 5.188, 9.748 Å; angles 90.00, 103.80, 90.00 degrees
Fractional coordinates of all 14 atoms:
Tc1 0.100 0.750 0.199
Tc2 0.900 0.250 0.801
Mo1 0.641 0.503 0.283
Mo2 0.952 0.750 0.902
Mo3 0.048 0.250 0.098
Mo4 0.641 0.997 0.283
Mo5 0.768 0.250 0.536
Mo6 0.359 0.003 0.717
Mo7 0.359 0.497 0.717
Mo8 0.232 0.750 0.464
W1 0.515 0.750 0.028
W2 0.485 0.250 0.972
W3 0.191 0.250 0.383
W4 0.809 0.750 0.617

Results
* formation enthalpy at 0 K: 0.3713 eV per atom
* calculated density: 12.34 Mg/m³
* symmetry: P2_1/m (11)
* calculated volume: 16.33 A^3/atom

(2)
Density functional theory data (PBE-GGA) for crystalline InCo2Tc at its relaxed geometry.

Cell lengths 4.655, 4.655, 4.623 Å; angles 78.18, 78.18, 34.75 degrees
Site moments in Bohr magnetons follow the coordinates.
Fractional coordinates of all 4 atoms:
Co1 0.003 0.003 0.023  0.24
Co2 0.738 0.738 0.757  0.88
In1 0.495 0.495 0.528  -0.02
Tc1 0.263 0.263 0.192  0.20

Results
* formation enthalpy at 0 K: 0.2510 eV per atom
* calculated density: 9.85 Mg/m³
* symmetry: Cm (8)
* calculated volume: 13.94 A^3/atom
* energy relative to the lowest polymorph listed for this composition: 104.5 meV per atom

(3)
Density functional theory data (PBE-GGA) for crystalline Mg2NiW3S8 at its relaxed geometry.

Cell lengths 7.377, 7.377, 7.377 Å; angles 56.26, 56.26, 56.26 degrees
Site moments in Bohr magnetons follow the coordinates.
Fractional coordinates of all 14 atoms:
Ni1 0.482 0.482 0.482  0.86
S1 0.761 0.761 0.761  0.00
S2 0.248 0.248 0.720  0.05
S3 0.248 0.720 0.248  0.05
S4 0.720 0.248 0.248  0.05
S5 0.717 0.294 0.717  0.03
S6 0.294 0.717 0.717  0.03
S7 0.271 0.271 0.271  0.00
S8 0.717 0.717 0.294  0.03
Mg1 0.898 0.898 0.898  0.00
Mg2 0.139 0.139 0.139  0.00
W1 0.532 0.532 0.941  0.04
W2 0.941 0.532 0.532  0.04
W3 0.532 0.941 0.532  0.04

Results
* formation energy from raw total energies: -673 meV per atom
* calculated density: 5.86 Mg/m³
* symmetry: R3m (160)
* calculated volume: 18.52 A^3/atom

- Look up the calculated density of the second one.
  9.85 Mg/m³